A plane-wave DFT calculation with PBE was carried out for a geometry-optimized TmCuAg structure.

Results
The space-group type is I4mm, No. 107. Its formation energy is -0.2542 eV per atom. The volume is 19.112 A^3/atom. The calculation puts the density of states at the Fermi level at 0.294 states/eV per atom. For the energy relative to the lowest polymorph listed for this composition, the calculation gives 0.045 eV per atom.

abc: 5.174 5.174 5.174
angles: 139.74 139.74 58.25
Positions (direct):
Tm1 0.000 0.000 0.000
Cu1 0.335 0.335 0.000
Ag1 0.679 0.679 0.000



A plane-wave DFT calculation with PBE was carried out for a geometry-optimized TmCuAg structure.

Results
The space-group type is Pmma, No. 51. Its formation energy is -0.2734 eV per atom. The volume is 19.471 A^3/atom. The calculation puts the density of states at the Fermi level at 0.704 states/eV per atom. For the energy relative to the lowest polymorph listed for this composition, the calculation gives 0.026 eV per atom.

abc: 12.668 3.804 7.272
angles: 90.00 90.00 90.00
Positions (direct):
Tm1 0.045 0.000 0.246
Tm2 0.250 0.000 0.843
Tm3 0.455 0.000 0.246
Tm4 0.545 0.000 0.754
Tm5 0.750 0.000 0.157
Tm6 0.955 0.000 0.754
Cu1 0.090 0.500 0.945
Cu2 0.250 0.000 0.447
Cu3 0.410 0.500 0.945
Cu4 0.590 0.500 0.055
Cu5 0.750 0.000 0.553
Cu6 0.910 0.500 0.055
Ag1 0.117 0.500 0.571
Ag2 0.250 0.500 0.192
Ag3 0.383 0.500 0.571
Ag4 0.617 0.500 0.429
Ag5 0.750 0.500 0.808
Ag6 0.883 0.500 0.429



A plane-wave DFT calculation with PBE was carried out for a geometry-optimized TmCu10Ag structure.

Results
The space-group type is Pmmm, No. 47. Its formation energy is -0.0386 eV per atom. The volume is 14.328 A^3/atom. The calculation puts the density of states at the Fermi level at 0.450 states/eV per atom.

abc: 4.092 4.928 8.527
angles: 90.00 90.00 90.00
Positions (direct):
Tm1 0.000 0.000 0.000
Cu1 0.000 0.000 0.341
Cu2 0.000 0.000 0.659
Cu3 0.000 0.500 0.178
Cu4 0.000 0.500 0.822
Cu5 0.500 0.000 0.500
Cu6 0.500 0.247 0.249
Cu7 0.500 0.247 0.751
Cu8 0.500 0.500 0.000
Cu9 0.500 0.753 0.249
Cu10 0.500 0.753 0.751
Ag1 0.000 0.500 0.500